Record 1
! PBE-GGA CdFeW3, relaxed; values from VASP
! **Formation energy**: 1.32 eV/atom
&SYSTEM
  ibrav = 0, nat = 5, ntyp = 3
/
ATOMIC_SPECIES
Fe 55.84 Fe.upf
W 183.84 W.upf
Cd 112.41 Cd.upf
CELL_PARAMETERS angstrom
4.503 0.000 0.000
0.000 4.503 0.000
0.000 0.000 4.503
ATOMIC_POSITIONS crystal
Fe 0.000 0.000 0.000
W 0.000 0.500 0.000
W 0.000 0.000 0.500
W 0.500 0.000 0.000
Cd 0.500 0.500 0.500

***

Record 2
! PBE-GGA Cd3FeW, relaxed; values from VASP
! **Formation energy**: 1.52 eV/atom
&SYSTEM
  ibrav = 0, nat = 5, ntyp = 3
/
ATOMIC_SPECIES
Fe 55.84 Fe.upf
W 183.84 W.upf
Cd 112.41 Cd.upf
CELL_PARAMETERS angstrom
-4.326 1.516 -1.581
0.170 -3.257 -3.588
-2.184 -3.257 2.853
ATOMIC_POSITIONS crystal
Fe 0.000 0.000 0.000
W 0.500 0.500 0.500
Cd 0.000 0.500 0.000
Cd 0.000 0.000 0.500
Cd 0.500 0.000 0.000

***

Record 3
! PBE-GGA Cd2FeW, relaxed; values from VASP
! **Formation energy**: 0.56 eV/atom
&SYSTEM
  ibrav = 0, nat = 4, ntyp = 3
/
ATOMIC_SPECIES
Cd 112.41 Cd.upf
Fe 55.84 Fe.upf
W 183.84 W.upf
CELL_PARAMETERS angstrom
-0.152 -9.780 -0.146
2.420 -9.380 -1.360
2.173 -9.419 1.501
ATOMIC_POSITIONS crystal
Cd 0.996 0.996 0.996
Cd 0.504 0.504 0.504
Fe 0.250 0.250 0.250
W 0.750 0.750 0.750

***

Record 4
! PBE-GGA Cd2FeW, relaxed; values from VASP
! **Formation energy**: 0.72 eV/atom
&SYSTEM
  ibrav = 0, nat = 4, ntyp = 3
/
ATOMIC_SPECIES
Cd 112.41 Cd.upf
Fe 55.84 Fe.upf
W 183.84 W.upf
CELL_PARAMETERS angstrom
4.568 0.000 0.000
2.284 3.956 0.000
2.284 1.319 3.730
ATOMIC_POSITIONS crystal
Cd 0.000 0.000 0.000
Cd 0.750 0.750 0.750
Fe 0.500 0.500 0.500
W 0.250 0.250 0.250

***

no.,calculated total energy (eV/atom),calculated volume (Å³ per cell),total magnetization (μB/atom)
1,-8.33,91.3,0.00
2,-3.31,114.0,1.03
3,-5.25,68.9,0.68
4,-5.09,67.4,0.26